[1]
The following is a PBE calculation of a geometry-optimized ZrUSb2 structure, from the Alexandria database.

Output
- Crystal system: tetragonal
- Energy above the most stable polymorph in this dataset: 0.37 eV/f.u.
- Formation energy without anion corrections: -0.320 eV per atom
- N(E_F): 5.91 states/eV per cell

Cell: 5.1219 5.1219 3.6758 Å, 90.00 90.00 90.00°
Closest atoms and distances in Å follow each position.
Fractional positions:
Zr (0.0000, 0.0000, 0.0000)  8 Sb 3.15
U (0.5000, 0.5000, 0.0000)  8 Sb 3.15
Sb (0.0000, 0.5000, 0.5000)  4 Zr 3.15, 4 U 3.15
Sb (0.5000, 0.0000, 0.5000)  4 Zr 3.15, 4 U 3.15


[2]
The following is a PBE calculation of a geometry-optimized Er2Be2GaRh5 structure, from the Alexandria database.

Output
- E_form: -0.843 eV per atom
- Crystal system: tetragonal
- N(E_F): 9.25 states/eV per cell

Cell: 9.6152 9.6152 3.1895 Å, 90.00 90.00 90.00°
Closest atoms and distances in Å follow each position.
Fractional positions:
Er (0.1762, 0.3238, 0.0000)  3 Be 2.74-2.92, 10 Rh 2.88-3.03
Er (0.3238, 0.8238, 0.0000)  3 Be 2.74-2.92, 10 Rh 2.88-3.03
Er (0.6762, 0.1762, 0.0000)  3 Be 2.74-2.92, 10 Rh 2.88-3.03
Er (0.8238, 0.6762, 0.0000)  3 Be 2.74-2.92, 10 Rh 2.88-3.03
Be (0.1227, 0.6227, 0.0000)  6 Rh 2.31-2.32
Be (0.3773, 0.1227, 0.0000)  6 Rh 2.31-2.32
Be (0.6227, 0.8773, 0.0000)  6 Rh 2.31-2.32
Be (0.8773, 0.3773, 0.0000)  6 Rh 2.31-2.32
Ga (0.0000, 0.0000, 0.0000)  8 Rh 2.66
Ga (0.5000, 0.5000, 0.0000)  8 Rh 2.66
Rh (0.0000, 0.5000, 0.5000)  4 Be 2.31
Rh (0.0669, 0.7894, 0.5000)  2 Be 2.32
Rh (0.2106, 0.0669, 0.5000)  2 Be 2.32
Rh (0.2894, 0.5669, 0.5000)  2 Be 2.32
Rh (0.4331, 0.2894, 0.5000)  2 Be 2.32
Rh (0.5000, 0.0000, 0.5000)  4 Be 2.31
Rh (0.5669, 0.7106, 0.5000)  2 Be 2.32
Rh (0.7106, 0.4331, 0.5000)  2 Be 2.32
Rh (0.7894, 0.9331, 0.5000)  2 Be 2.32
Rh (0.9331, 0.2106, 0.5000)  2 Be 2.32